No. 1
A plane-wave DFT calculation with GGA-PBEsol was carried out for crystalline CrRuRh at its relaxed geometry.

- Fermi-level density of states (states/eV/cell) = 3.83
- energy relative to the lowest polymorph listed for this composition (eV/f.u.) = 0.05
- formation energy from the elements (eV/f.u.) = 0.154
- space group = P3m1 (156)

POSCAR file:
```
CrRuRh
1.0
2.637 0.000 0.000
-1.318 2.284 0.000
0.000 0.000 6.362
Cr Rh Ru
1 1 1
Direct
0.000 0.000 0.003
0.667 0.333 0.681
0.333 0.667 0.316
```

---

No. 2
A plane-wave DFT calculation with GGA-PBEsol was carried out for crystalline CrRu2Rh at its relaxed geometry.

- Fermi-level density of states (states/eV/cell) = 4.39
- formation energy from the elements (eV/f.u.) = 0.245
- space group = Pmm2 (25)

POSCAR file:
```
CrRu2Rh
1.0
2.642 0.000 0.000
0.000 3.701 0.000
0.000 0.000 5.282
Rh Ru Cr
1 2 1
Direct
0.500 0.500 0.742
0.500 0.500 0.252
0.000 0.000 0.011
0.000 0.000 0.496
```

---

No. 3
A plane-wave DFT calculation with GGA-PBEsol was carried out for crystalline CrRu2Rh at its relaxed geometry.

- Fermi-level density of states (states/eV/cell) = 4.38
- formation energy from the elements (eV/f.u.) = 0.174
- space group = I-4m2 (119)

POSCAR file:
```
CrRu2Rh
1.0
-1.798 -3.146 -0.862
3.223 -1.561 -1.025
-0.210 1.118 4.406
Ru Cr Rh
2 1 1
Direct
0.500 0.500 0.000
0.750 0.250 0.500
0.000 0.000 0.000
0.250 0.750 0.500
```

---

No. 4
A plane-wave DFT calculation with GGA-PBEsol was carried out for crystalline CrSb2Rh at its relaxed geometry.

- energy relative to the elements, uncorrected (eV/atom) = 0.05
- Fermi-level density of states (states/eV/cell) = 3.26
- space group = P4mm (99)

POSCAR file:
```
CrSb2Rh
1.0
-2.125 -2.088 1.238
1.333 -2.379 -1.724
4.735 -1.456 5.672
Cr Rh Sb
1 1 2
Direct
0.000 0.000 0.528
0.500 0.500 0.724
0.000 0.000 0.925
0.500 0.500 0.323
```

---

No. 5
A plane-wave DFT calculation with GGA-PBEsol was carried out for crystalline CrSbRh2 at its relaxed geometry.

- energy relative to the elements, uncorrected (eV/atom) = -0.20
- Fermi-level density of states (states/eV/cell) = 4.14
- space group = I4/mmm (139)

POSCAR file:
```
CrSbRh2
1.0
4.014 0.000 0.000
-2.007 4.173 -0.022
0.000 1.950 3.509
Rh Cr Sb
2 1 1
Direct
0.250 0.500 0.250
0.750 0.500 0.750
0.500 0.000 0.500
0.000 0.000 0.000
```

---

No. 6
A plane-wave DFT calculation with GGA-PBEsol was carried out for crystalline CrSb2Rh at its relaxed geometry.

- energy relative to the elements, uncorrected (eV/atom) = 0.11
- Fermi-level density of states (states/eV/cell) = 3.48
- space group = C2/m (12)

POSCAR file:
```
CrSb2Rh
1.0
-1.093 -1.375 2.739
-0.519 -2.640 -3.466
5.382 -1.140 1.576
Cr Sb Rh
1 2 1
Direct
0.000 0.000 0.500
0.754 0.509 0.756
0.246 0.491 0.244
0.500 0.000 0.000
```

---

No. 7
A plane-wave DFT calculation with GGA-PBEsol was carried out for crystalline CrSbRh2 at its relaxed geometry.

- energy relative to the elements, uncorrected (eV/atom) = -0.18
- Fermi-level density of states (states/eV/cell) = 1.94
- space group = P4/mmm (123)

POSCAR file:
```
CrSbRh2
1.0
-0.944 1.538 -3.263
-0.690 -3.638 -1.516
-3.809 0.220 1.206
Cr Rh Sb
1 2 1
Direct
0.500 0.000 0.000
0.000 0.500 0.000
0.000 0.000 0.500
0.500 0.500 0.500
```

---

No. 8
A plane-wave DFT calculation with GGA-PBEsol was carried out for crystalline Cr2RhSe at its relaxed geometry.

- energy relative to the elements, uncorrected (eV/atom) = 0.07
- Fermi-level density of states (states/eV/cell) = 3.49
- space group = P4/mmm (123)

POSCAR file:
```
Cr2RhSe
1.0
-0.661 -0.078 2.741
2.636 -0.794 0.614
1.689 6.060 0.580
Cr Rh Se
2 1 1
Direct
0.000 0.000 0.269
0.000 0.000 0.731
0.500 0.500 0.000
0.500 0.500 0.500
```

---

No. 9
A plane-wave DFT calculation with GGA-PBEsol was carried out for crystalline Cr2RhSe at its relaxed geometry.

- energy relative to the elements, uncorrected (eV/atom) = 0.21
- Fermi-level density of states (states/eV/cell) = 3.34
- space group = R3m (160)

POSCAR file:
```
Cr2RhSe
1.0
2.838 0.000 0.000
1.419 2.458 0.000
1.419 0.819 7.656
Cr Rh Se
2 1 1
Direct
0.005 0.005 0.984
0.743 0.743 0.771
0.495 0.495 0.515
0.257 0.257 0.229
```

---

No. 10
A plane-wave DFT calculation with GGA-PBEsol was carried out for crystalline Cr2RhSe at its relaxed geometry.

- energy relative to the elements, uncorrected (eV/atom) = 0.17
- Fermi-level density of states (states/eV/cell) = 4.42
- space group = Immm (71)

POSCAR file:
```
Cr2RhSe
1.0
2.883 0.000 0.000
0.000 4.243 0.000
-1.441 -2.122 4.175
Cr Rh Se
2 1 1
Direct
0.275 0.275 0.551
0.725 0.725 0.449
0.500 0.000 0.000
0.000 0.500 0.000
```

---

No. 11
A plane-wave DFT calculation with GGA-PBEsol was carried out for crystalline CrSnRh2Se at its relaxed geometry.

- energy relative to the elements, uncorrected (eV/atom) = 0.45
- Fermi-level density of states (states/eV/cell) = 7.37
- space group = P4/mmm (123)

POSCAR file:
```
CrSnRh2Se
1.0
4.466 0.000 0.000
0.000 4.569 0.000
0.000 0.000 4.569
Se Rh Cr Sn
1 2 1 1
Direct
0.000 0.000 0.000
0.000 0.500 0.000
0.000 0.000 0.500
0.500 0.000 0.000
0.500 0.500 0.500
```

---

No. 12
A plane-wave DFT calculation with GGA-PBEsol was carried out for crystalline CrSiRh2 at its relaxed geometry.

- energy relative to the elements, uncorrected (eV/atom) = -0.25
- Fermi-level density of states (states/eV/cell) = 3.35
- space group = R3m (160)

POSCAR file:
```
CrSiRh2
1.0
-0.019 -2.612 -0.595
1.274 -0.885 -2.184
7.187 -2.210 3.447
Rh Si Cr
2 1 1
Direct
0.757 0.757 0.728
0.995 0.995 0.016
0.501 0.501 0.497
0.247 0.247 0.258
```

---

No. 13
A plane-wave DFT calculation with GGA-PBEsol was carried out for crystalline CrSi2Rh at its relaxed geometry.

- energy relative to the elements, uncorrected (eV/atom) = -0.35
- Fermi-level density of states (states/eV/cell) = 2.85
- space group = Pmmm (47)

POSCAR file:
```
CrSi2Rh
1.0
-1.395 2.287 0.098
-1.780 -1.215 3.002
3.637 2.089 3.002
Si Rh Cr
2 1 1
Direct
0.000 0.000 0.727
0.000 0.000 0.273
0.000 0.500 0.000
0.500 0.500 0.500
```

---

No. 14
A plane-wave DFT calculation with GGA-PBEsol was carried out for crystalline CrSi2Rh at its relaxed geometry.

- energy relative to the elements, uncorrected (eV/atom) = -0.51
- Fermi-level density of states (states/eV/cell) = 2.71
- space group = P4/mmm (123)

POSCAR file:
```
CrSi2Rh
1.0
2.844 0.000 0.000
0.000 4.100 0.000
0.000 0.000 4.100
Rh Cr Si
1 1 2
Direct
0.500 0.000 0.000
0.500 0.500 0.500
0.000 0.500 0.000
0.000 0.000 0.500
```

---

No. 15
A plane-wave DFT calculation with GGA-PBEsol was carried out for crystalline CrSiRh at its relaxed geometry.

- energy relative to the elements, uncorrected (eV/atom) = -0.22
- Fermi-level density of states (states/eV/cell) = 3.37
- space group = P3m1 (156)

POSCAR file:
```
CrSiRh
1.0
-0.573 -2.436 -0.923
-0.190 0.516 2.610
-5.729 1.627 -0.740
Rh Cr Si
1 1 1
Direct
0.667 0.333 0.664
0.000 0.000 0.006
0.333 0.667 0.330
```

---

No. 16
A plane-wave DFT calculation with GGA-PBEsol was carried out for crystalline CrSi2Rh at its relaxed geometry.

- energy relative to the elements, uncorrected (eV/atom) = -0.12
- Fermi-level density of states (states/eV/cell) = 3.17
- space group = R3m (160)

POSCAR file:
```
CrSi2Rh
1.0
2.766 0.000 0.000
1.383 2.395 0.000
1.383 0.798 7.691
Cr Rh Si
1 1 2
Direct
0.497 0.497 0.508
0.252 0.252 0.243
0.998 0.998 0.006
0.752 0.752 0.743
```

---

No. 17
A plane-wave DFT calculation with GGA-PBEsol was carried out for crystalline SrCrSi2Rh at its relaxed geometry.

- energy relative to the elements, uncorrected (eV/atom) = 0.08
- Fermi-level density of states (states/eV/cell) = 3.78
- space group = P4/mmm (123)

POSCAR file:
```
SrCrSi2Rh
1.0
4.456 0.000 0.000
0.000 4.456 0.000
0.000 0.000 4.686
Si Sr Cr Rh
2 1 1 1
Direct
0.500 0.000 0.000
0.000 0.500 0.000
0.500 0.500 0.500
0.000 0.000 0.000
0.000 0.000 0.500
```

---

No. 18
A plane-wave DFT calculation with GGA-PBEsol was carried out for crystalline CrSnRh2 at its relaxed geometry.

- Fermi-level density of states (states/eV/cell) = 2.38
- formation energy from the elements (eV/f.u.) = -1.062
- space group = I4/mmm (139)

POSCAR file:
```
CrSnRh2
1.0
4.014 0.000 0.000
-2.007 4.142 0.057
0.000 -1.993 3.484
Rh Sn Cr
2 1 1
Direct
0.250 0.500 0.750
0.750 0.500 0.250
0.000 0.000 0.000
0.500 0.000 0.500
```

---

No. 19
A plane-wave DFT calculation with GGA-PBEsol was carried out for crystalline SrCrRh2 at its relaxed geometry.

- Fermi-level density of states (states/eV/cell) = 5.64
- energy relative to the lowest polymorph listed for this composition (eV/f.u.) = 0.66
- formation energy from the elements (eV/f.u.) = 1.579
- space group = Pmm2 (25)

POSCAR file:
```
SrCrRh2
1.0
-1.739 -1.539 1.641
1.061 -3.173 -1.852
4.902 -0.900 4.349
Rh Sr Cr
2 1 1
Direct
0.500 0.500 0.199
0.000 0.000 0.971
0.000 0.000 0.483
0.500 0.500 0.848
```

---

No. 20
A plane-wave DFT calculation with GGA-PBEsol was carried out for crystalline SrCrRh2 at its relaxed geometry.

- Fermi-level density of states (states/eV/cell) = 3.60
- energy relative to the lowest polymorph listed for this composition (eV/f.u.) = 0.51
- formation energy from the elements (eV/f.u.) = 1.425
- space group = Pm (6)

POSCAR file:
```
SrCrRh2
1.0
2.928 0.000 0.082
0.000 4.337 0.000
-0.811 0.000 5.701
Rh Sr Cr
2 1 1
Direct
0.886 0.500 0.216
0.865 0.000 0.950
0.441 0.000 0.461
0.308 0.500 0.872
```

---

Result set for calculated total energy: -9.466, -9.620, -9.638, -6.820, -7.972, -6.759, -7.947, -8.046, -7.907, -7.949, -6.474, -8.318, -7.815, -7.980, -8.259, -7.593, -6.268, -7.960, -6.695, -6.734 eV per atom, one per record in the order listed.